First-principles (PBE) data for a geometry-optimized ZrBi2Os structure, as listed in Alexandria.

N(E_F) = 6.4 states/eV/cell
size of the total moment = 0.281 μB per atom
formation energy = 479 meV per atom
E above lowest polymorph = 0 meV/atom
space-group type = Fm-3m, No. 225

Lattice parameters (Å, degrees): 4.990 4.990 4.990 60.00 60.00 60.00
Fractional coordinates of all 4 atoms:
1 Zr 0.000 0.000 0.000
2 Bi 0.250 0.250 0.250
3 Bi 0.750 0.750 0.750
4 Os 0.500 0.500 0.500

***

First-principles (PBE) data for a geometry-optimized KGe structure, as listed in Alexandria.

N(E_F) = 3.0 states/eV/cell
size of the total moment = 0.000 μB per atom
formation energy = 66 meV per atom
E above lowest polymorph = 279 meV/atom
space-group type = Amm2, No. 38

Lattice parameters (Å, degrees): 4.737 7.456 7.456 107.17 90.00 90.00
Fractional coordinates of all 6 atoms:
1 K 0.000 0.000 0.000
2 K 0.000 0.316 0.661
3 K 0.000 0.661 0.316
4 Ge 0.500 0.016 0.394
5 Ge 0.500 0.273 0.273
6 Ge 0.500 0.394 0.016

***

First-principles (PBE) data for a geometry-optimized NaLuAg4 structure, as listed in Alexandria.

N(E_F) = 7.8 states/eV/cell
size of the total moment = 0.000 μB per atom
formation energy = -63 meV per atom
space-group type = F-43m, No. 216

Lattice parameters (Å, degrees): 5.633 5.633 5.633 60.00 60.00 60.00
Fractional coordinates of all 6 atoms:
1 Na 0.000 0.000 0.000
2 Lu 0.250 0.250 0.250
3 Ag 0.125 0.625 0.625
4 Ag 0.625 0.125 0.625
5 Ag 0.625 0.625 0.125
6 Ag 0.625 0.625 0.625

***

First-principles (PBE) data for a geometry-optimized SrBeGe structure, as listed in Alexandria.

N(E_F) = 2.0 states/eV/cell
size of the total moment = 0.000 μB per atom
formation energy = -273 meV per atom
space-group type = Pmmm, No. 47

Lattice parameters (Å, degrees): 4.065 4.623 7.171 90.00 90.00 90.00
Fractional coordinates of all 6 atoms:
1 Sr 0.000 0.000 0.000
2 Sr 0.500 0.000 0.500
3 Be 0.000 0.500 0.335
4 Be 0.000 0.500 0.665
5 Ge 0.500 0.500 0.183
6 Ge 0.500 0.500 0.817

***

First-principles (PBE) data for a geometry-optimized Pr6GaSi2 structure, as listed in Alexandria.

N(E_F) = 14.3 states/eV/cell
size of the total moment = 0.000 μB per atom
energy relative to the elements, uncorrected = -469 meV per atom
E above lowest polymorph = 0 meV/atom
space-group type = Immm, No. 71

Lattice parameters (Å, degrees): 8.806 8.806 8.806 111.78 109.30 107.37
Fractional coordinates of all 18 atoms:
1 Pr 0.046 0.246 0.800
2 Pr 0.179 0.268 0.447
3 Pr 0.179 0.732 0.912
4 Pr 0.324 0.033 0.709
5 Pr 0.324 0.615 0.291
6 Pr 0.447 0.246 0.200
7 Pr 0.553 0.754 0.800
8 Pr 0.676 0.385 0.709
9 Pr 0.676 0.967 0.291
10 Pr 0.821 0.268 0.088
11 Pr 0.821 0.732 0.553
12 Pr 0.954 0.754 0.200
13 Ga 0.000 0.000 0.000
14 Ga 0.500 0.500 0.000
15 Si 0.113 0.613 0.500
16 Si 0.374 0.000 0.374
17 Si 0.626 0.000 0.626
18 Si 0.887 0.387 0.500

***

First-principles (PBE) data for a geometry-optimized Ca2Zn3Pd2 structure, as listed in Alexandria.

N(E_F) = 3.1 states/eV/cell
size of the total moment = 0.000 μB per atom
formation energy = -556 meV per atom
space-group type = C2/m, No. 12

Lattice parameters (Å, degrees): 5.547 5.547 7.093 112.08 112.08 44.75
Fractional coordinates of all 7 atoms:
1 Ca 0.141 0.141 0.268
2 Ca 0.859 0.859 0.732
3 Zn 0.360 0.360 0.063
4 Zn 0.500 0.500 0.500
5 Zn 0.640 0.640 0.937
6 Pd 0.135 0.135 0.703
7 Pd 0.865 0.865 0.297

***

First-principles (PBE) data for a geometry-optimized ZnMoAs3 structure, as listed in Alexandria.

N(E_F) = 4.8 states/eV/cell
size of the total moment = 0.000 μB per atom
formation energy = 464 meV per atom
E above lowest polymorph = 0 meV/atom
space-group type = Pm-3m, No. 221

Lattice parameters (Å, degrees): 4.902 4.902 4.902 90.00 90.00 90.00
Fractional coordinates of all 5 atoms:
1 Zn 0.000 0.000 0.000
2 Mo 0.500 0.500 0.500
3 As 0.000 0.500 0.500
4 As 0.500 0.000 0.500
5 As 0.500 0.500 0.000

***

First-principles (PBE) data for a geometry-optimized MgPSCl2 structure, as listed in Alexandria.

N(E_F) = 2.3 states/eV/cell
size of the total moment = 0.212 μB per atom
energy relative to the elements, uncorrected = 27 meV per atom
E above lowest polymorph = 197 meV/atom
space-group type = P4/mmm, No. 123

Lattice parameters (Å, degrees): 4.464 4.464 9.242 90.00 90.00 90.00
Fractional coordinates of all 5 atoms:
1 Mg 0.000 0.000 0.000
2 P 0.000 0.000 0.500
3 S 0.500 0.500 0.500
4 Cl 0.000 0.500 0.000
5 Cl 0.500 0.000 0.000